Compound: Zr3AgC
Source: Alexandria via LeMat-Bulk
Functional: GGA-PBEsol
Structure: relaxed

a = 4.494 Å, b = 4.494 Å, c = 4.494 Å
α = 90.00°, β = 90.00°, γ = 90.00°
Space group Pm-3m (No. 221)
One atom of each set of equivalent atoms:
Zr 0.000 0.000 0.500 x3
Ag 0.500 0.500 0.500 x1
C 0.000 0.000 0.000 x1

Output
Density ... 7202 kg/m3
E ... -42.109 eV/f.u.
DFT formation energy ... -377 meV/atom
Magnetization ... 0.00 μB/atom

Compound: Cu3Pt2
Source: Alexandria via LeMat-Bulk
Functional: GGA-PBEsol
Structure: relaxed

a = 2.740 Å, b = 2.740 Å, c = 17.054 Å
α = 90.00°, β = 90.00°, γ = 90.00°
Space group I4/mmm (No. 139)
One atom of each set of equivalent atoms:
Cu 0.000 0.000 0.000 x2
Cu 0.000 0.000 0.411 x4
Pt 0.000 0.000 0.191 x4

Output
Density ... 15070 kg/m3
E ... -27.245 eV/f.u.
DFT formation energy ... -63 meV/atom
Magnetization ... 0.00 μB/atom

Compound: Rb2Zr2Ti
Source: Alexandria via LeMat-Bulk
Functional: GGA-PBEsol
Structure: relaxed

a = 4.099 Å, b = 4.099 Å, c = 17.455 Å
α = 90.00°, β = 90.00°, γ = 90.00°
Space group I4/mmm (No. 139)
One atom of each set of equivalent atoms:
Rb 0.000 0.500 0.250 x4
Zr 0.000 0.000 0.072 x4
Ti 0.000 0.000 0.500 x2

Output
Density ... 4544 kg/m3
E ... -22.293 eV/f.u.
DFT formation energy ... 1252 meV/atom
Magnetization ... 0.37 μB/atom

Question: What is the E in the third record?
Answer: -22.293 eV/f.u.

Question: Among the records above, which one has the highest DFT formation energy?
Answer: Rb2Zr2Ti